(1)
# TlRe2Ni, optimized geometry, DFT PBE
data_TlRe2Ni
_space_group_name_H-M_alt 'C m m m'
_space_group_IT_number 65
_space_group_name_Hall '-C 2 2'
_cell_length_a 5.219
_cell_length_b 8.570
_cell_length_c 2.857
_cell_angle_alpha 90.00
_cell_angle_beta 90.00
_cell_angle_gamma 90.00
loop_
_atom_site_label
_atom_site_type_symbol
_atom_site_fract_x
_atom_site_fract_y
_atom_site_fract_z
Tl1 Tl 0.000 0.000 0.000
Re1 Re 0.250 0.250 0.500
Ni1 Ni 0.000 0.500 0.000
# formation energy = 20.905 kcal/mol of atoms
# calculated total energy = -7.35 eV per atom
# crystal system = orthorhombic
# total moment = 0.0 μB per formula unit
# ρ = 16.52 g/cm³

(2)
# ZrPa2Ti, optimized geometry, DFT PBE
data_ZrPa2Ti
_space_group_name_H-M_alt 'R 3 m'
_space_group_IT_number 160
_space_group_name_Hall 'R 3 -2"'
_cell_length_a 3.1425
_cell_length_b 3.1425
_cell_length_c 32.0965
_cell_angle_alpha 90.00
_cell_angle_beta 90.00
_cell_angle_gamma 120.00
loop_
_atom_site_label
_atom_site_type_symbol
_atom_site_fract_x
_atom_site_fract_y
_atom_site_fract_z
Zr1 Zr 0.0000 0.0000 0.0000
Pa1 Pa 0.0000 0.0000 0.2482
Pa2 Pa 0.0000 0.0000 0.4220
Ti1 Ti 0.0000 0.0000 0.8357
# formation energy = 3.203 kcal/mol of atoms
# calculated total energy = -8.72 eV per atom
# crystal system = trigonal
# total moment = 0.0 μB per formula unit
# ρ = 10.91 g/cm³

(3)
# AcPmTm2, optimized geometry, DFT PBE
data_AcPmTm2
_space_group_name_H-M_alt 'R -3 m'
_space_group_IT_number 166
_space_group_name_Hall '-R 3 2"'
_cell_length_a 3.6869
_cell_length_b 3.6869
_cell_length_c 34.9639
_cell_angle_alpha 90.00
_cell_angle_beta 90.00
_cell_angle_gamma 120.00
loop_
_atom_site_label
_atom_site_type_symbol
_atom_site_fract_x
_atom_site_fract_y
_atom_site_fract_z
Ac1 Ac 0.0000 0.0000 0.0000
Pm1 Pm 0.0000 0.0000 0.5000
Tm1 Tm 0.0000 0.0000 0.2477
# formation energy = 1.290 kcal/mol of atoms
# calculated total energy = -4.39 eV per atom
# crystal system = trigonal
# total moment = 0.0 μB per formula unit
# ρ = 8.59 g/cm³

(4)
# Tm5AlCu4, optimized geometry, DFT PBE
data_Tm5AlCu4
_space_group_name_H-M_alt 'P 4/m m m'
_space_group_IT_number 123
_space_group_name_Hall '-P 4 2'
_cell_length_a 3.413
_cell_length_b 3.413
_cell_length_c 17.585
_cell_angle_alpha 90.00
_cell_angle_beta 90.00
_cell_angle_gamma 90.00
loop_
_atom_site_label
_atom_site_type_symbol
_atom_site_fract_x
_atom_site_fract_y
_atom_site_fract_z
Tm1 Tm 0.000 0.000 0.000
Tm2 Tm 0.000 0.000 0.196
Tm3 Tm 0.000 0.000 0.391
Al1 Al 0.500 0.500 0.500
Cu1 Cu 0.500 0.500 0.097
Cu2 Cu 0.500 0.500 0.296
# formation energy = -7.144 kcal/mol of atoms
# calculated total energy = -4.56 eV per atom
# crystal system = tetragonal
# total moment = 0.0 μB per formula unit
# ρ = 9.13 g/cm³

(5)
# HoTlGaAu, optimized geometry, DFT PBE
data_HoTlGaAu
_space_group_name_H-M_alt 'F -4 3 m'
_space_group_IT_number 216
_space_group_name_Hall 'F -4 2 3'
_cell_length_a 7.090
_cell_length_b 7.090
_cell_length_c 7.090
_cell_angle_alpha 90.00
_cell_angle_beta 90.00
_cell_angle_gamma 90.00
loop_
_atom_site_label
_atom_site_type_symbol
_atom_site_fract_x
_atom_site_fract_y
_atom_site_fract_z
Ho1 Ho 0.000 0.000 0.000
Tl1 Tl 0.000 0.000 0.500
Ga1 Ga 0.250 0.250 0.750
Au1 Au 0.250 0.250 0.250
# formation energy = -8.830 kcal/mol of atoms
# calculated total energy = -3.69 eV per atom
# crystal system = cubic
# total moment = 0.0 μB per formula unit
# ρ = 11.85 g/cm³

(6)
# PuTl2S2Br2, optimized geometry, DFT PBE
data_PuTl2S2Br2
_space_group_name_H-M_alt 'I 4/m m m'
_space_group_IT_number 139
_space_group_name_Hall '-I 4 2'
_cell_length_a 5.227
_cell_length_b 5.227
_cell_length_c 17.050
_cell_angle_alpha 90.00
_cell_angle_beta 90.00
_cell_angle_gamma 90.00
loop_
_atom_site_label
_atom_site_type_symbol
_atom_site_fract_x
_atom_site_fract_y
_atom_site_fract_z
Pu1 Pu 0.000 0.000 0.000
Tl1 Tl 0.000 0.000 0.373
S1 S 0.000 0.500 0.000
Br1 Br 0.000 0.000 0.167
# calculated total energy = -5.40 eV per atom
# ΔE_f (raw) = -99 kJ/mol of atoms
# crystal system = tetragonal
# total moment = 4.0 μB per formula unit
# ρ = 6.25 g/cm³

(7)
# PuAsPdN, optimized geometry, DFT PBE
data_PuAsPdN
_space_group_name_H-M_alt 'I 4 m m'
_space_group_IT_number 107
_space_group_name_Hall 'I 4 -2'
_cell_length_a 3.328
_cell_length_b 3.328
_cell_length_c 12.228
_cell_angle_alpha 90.00
_cell_angle_beta 90.00
_cell_angle_gamma 90.00
loop_
_atom_site_label
_atom_site_type_symbol
_atom_site_fract_x
_atom_site_fract_y
_atom_site_fract_z
Pu1 Pu 0.000 0.000 0.000
As1 As 0.000 0.000 0.717
Pd1 Pd 0.000 0.000 0.301
N1 N 0.000 0.000 0.479
# calculated total energy = -8.71 eV per atom
# ΔE_f (raw) = -57 kJ/mol of atoms
# crystal system = tetragonal
# total moment = 4.6 μB per formula unit
# ρ = 10.77 g/cm³

(8)
# Ce2SmHg4, optimized geometry, DFT PBE
data_Ce2SmHg4
_space_group_name_H-M_alt 'C m m m'
_space_group_IT_number 65
_space_group_name_Hall '-C 2 2'
_cell_length_a 5.890
_cell_length_b 18.990
_cell_length_c 3.457
_cell_angle_alpha 90.00
_cell_angle_beta 90.00
_cell_angle_gamma 90.00
loop_
_atom_site_label
_atom_site_type_symbol
_atom_site_fract_x
_atom_site_fract_y
_atom_site_fract_z
Ce1 Ce 0.000 0.070 0.000
Sm1 Sm 0.000 0.500 0.500
Hg1 Hg 0.000 0.214 0.500
Hg2 Hg 0.000 0.353 0.000
# formation energy = -2.185 kcal/mol of atoms
# calculated total energy = -2.64 eV per atom
# crystal system = orthorhombic
# total moment = 1.3 μB per formula unit
# ρ = 10.59 g/cm³

(9)
# Nd8Sn3, optimized geometry, DFT PBE
data_Nd8Sn3
_space_group_name_H-M_alt 'R -3'
_space_group_IT_number 148
_space_group_name_Hall '-R 3'
_cell_length_a 10.3930
_cell_length_b 10.3930
_cell_length_c 12.8403
_cell_angle_alpha 90.00
_cell_angle_beta 90.00
_cell_angle_gamma 120.00
loop_
_atom_site_label
_atom_site_type_symbol
_atom_site_fract_x
_atom_site_fract_y
_atom_site_fract_z
Nd1 Nd 0.0000 0.0000 0.1450
Nd2 Nd 0.0332 0.7944 0.6112
Sn1 Sn 0.0000 0.5000 0.5000
# formation energy = -3.877 kcal/mol of atoms
# calculated total energy = -4.73 eV per atom
# crystal system = trigonal
# total moment = 0.0 μB per formula unit
# ρ = 6.26 g/cm³

(10)
# TlCuTe2, optimized geometry, DFT PBE
data_TlCuTe2
_space_group_name_H-M_alt 'P 3 m 1'
_space_group_IT_number 156
_space_group_name_Hall 'P 3 -2"'
_cell_length_a 4.0298
_cell_length_b 4.0298
_cell_length_c 8.3266
_cell_angle_alpha 90.00
_cell_angle_beta 90.00
_cell_angle_gamma 120.00
loop_
_atom_site_label
_atom_site_type_symbol
_atom_site_fract_x
_atom_site_fract_y
_atom_site_fract_z
Tl1 Tl 0.0000 0.0000 0.0000
Cu1 Cu 0.6667 0.3333 0.5463
Te1 Te 0.0000 0.0000 0.3872
Te2 Te 0.3333 0.6667 0.7263
# calculated total energy = -3.19 eV per atom
# ΔE_f (raw) = 0 kJ/mol of atoms
# crystal system = trigonal
# total moment = 0.0 μB per formula unit
# ρ = 7.42 g/cm³

(11)
# Na3Er2TcO6, optimized geometry, DFT PBE
data_Na3Er2TcO6
_space_group_name_H-M_alt 'C 1 2/m 1'
_space_group_IT_number 12
_space_group_name_Hall '-C 2y'
_cell_length_a 5.724
_cell_length_b 9.694
_cell_length_c 5.885
_cell_angle_alpha 90.00
_cell_angle_beta 108.23
_cell_angle_gamma 90.00
loop_
_atom_site_label
_atom_site_type_symbol
_atom_site_fract_x
_atom_site_fract_y
_atom_site_fract_z
Na1 Na 0.000 0.000 0.000
Na2 Na 0.000 0.339 0.000
Er1 Er 0.000 0.172 0.500
Tc1 Tc 0.000 0.500 0.500
O1 O 0.240 0.338 0.719
O2 O 0.244 0.500 0.298
# calculated total energy = -6.71 eV per atom
# ΔE_f (raw) = -219 kJ/mol of atoms
# crystal system = monoclinic
# total moment = 2.0 μB per formula unit
# ρ = 6.40 g/cm³

(12)
# SmPa3S4, optimized geometry, DFT PBE
data_SmPa3S4
_space_group_name_H-M_alt 'C m m m'
_space_group_IT_number 65
_space_group_name_Hall '-C 2 2'
_cell_length_a 8.115
_cell_length_b 11.094
_cell_length_c 3.777
_cell_angle_alpha 90.00
_cell_angle_beta 90.00
_cell_angle_gamma 90.00
loop_
_atom_site_label
_atom_site_type_symbol
_atom_site_fract_x
_atom_site_fract_y
_atom_site_fract_z
Sm1 Sm 0.000 0.000 0.000
Pa1 Pa 0.000 0.500 0.000
Pa2 Pa 0.250 0.250 0.500
S1 S 0.000 0.251 0.000
S2 S 0.248 0.500 0.500
# calculated total energy = -7.90 eV per atom
# ΔE_f (raw) = -163 kJ/mol of atoms
# crystal system = orthorhombic
# total moment = 0.0 μB per formula unit
# ρ = 9.49 g/cm³

Which value of ρ does entry 5 give?
11.85 g/cm³

Look up the total moment of the tenth one.
0.0 μB per formula unit

Among the records above, which one has the highest ρ?
TlRe2Ni

What is the ρ in the ninth record?
6.26 g/cm³